PBE PrGa5Pt3, relaxed; symmetry = Cmcm; formation energy from the elements = -6.11 eV per formula unit; raw total energy = -88.30 eV per cell
1.0
2.040 -6.545 0.000
2.040 6.545 0.000
0.000 0.000 12.789
Pr Ga Pt
2 10 6
direct
0.163 0.837 0.750 Pr
0.837 0.163 0.250 Pr
0.000 0.000 0.000 Ga
0.000 0.000 0.500 Ga
0.201 0.799 0.064 Ga
0.201 0.799 0.436 Ga
0.444 0.556 0.652 Ga
0.444 0.556 0.848 Ga
0.556 0.444 0.152 Ga
0.556 0.444 0.348 Ga
0.799 0.201 0.564 Ga
0.799 0.201 0.936 Ga
0.131 0.869 0.250 Pt
0.389 0.611 0.048 Pt
0.389 0.611 0.452 Pt
0.611 0.389 0.548 Pt
0.611 0.389 0.952 Pt
0.869 0.131 0.750 Pt

***

PBE YPa2Co2, relaxed; symmetry = P-1; formation energy from the elements = -1.30 eV per formula unit; raw total energy = -81.93 eV per cell
1.0
3.588 0.000 0.000
1.789 7.723 0.000
1.792 1.948 7.501
Y Pa Co
2 4 4
direct
0.155 0.499 0.190 Y
0.845 0.501 0.810 Y
0.142 0.894 0.825 Pa
0.419 0.731 0.426 Pa
0.581 0.269 0.574 Pa
0.858 0.106 0.175 Pa
0.225 0.119 0.431 Co
0.448 0.169 0.930 Co
0.552 0.831 0.070 Co
0.775 0.881 0.569 Co

***

PBE SrGeHPd2, relaxed; symmetry = Cmcm; raw total energy = -46.67 eV per cell
1.0
1.957 -5.696 0.000
1.957 5.696 0.000
0.000 0.000 7.546
Sr Ge H Pd
2 2 2 4
direct
0.048 0.952 0.750 Sr
0.952 0.048 0.250 Sr
0.229 0.771 0.250 Ge
0.771 0.229 0.750 Ge
0.500 0.500 0.000 H
0.500 0.500 0.500 H
0.339 0.661 0.555 Pd
0.339 0.661 0.945 Pd
0.661 0.339 0.055 Pd
0.661 0.339 0.445 Pd

***

PBE AsCBr3, relaxed; symmetry = Pm-3m; raw total energy = -12.52 eV per cell; formation energy from raw total energies = 1.274 eV/atom
1.0
4.702 0.000 0.000
0.000 4.702 0.000
0.000 0.000 4.702
As C Br
1 1 3
direct
0.000 0.000 0.000 As
0.500 0.500 0.500 C
0.000 0.500 0.500 Br
0.500 0.000 0.500 Br
0.500 0.500 0.000 Br

***

PBE Sr2RuAu, relaxed; symmetry = I-4m2; formation energy from the elements = 0.79 eV per formula unit; raw total energy = -15.12 eV per cell
1.0
-2.240 2.240 5.045
2.240 -2.240 5.045
2.240 2.240 -5.045
Sr Ru Au
2 1 1
direct
0.000 0.000 0.000 Sr
0.750 0.250 0.500 Sr
0.500 0.500 0.000 Ru
0.250 0.750 0.500 Au

***

PBE YNi2P, relaxed; symmetry = P4/mmm; formation energy from the elements = -0.97 eV per formula unit; raw total energy = -24.41 eV per cell
1.0
3.341 0.000 0.000
0.000 3.341 0.000
0.000 0.000 5.610
Y Ni P
1 2 1
direct
0.000 0.000 0.000 Y
0.500 0.500 0.290 Ni
0.500 0.500 0.710 Ni
0.000 0.000 0.500 P